Density functional theory data (PBE-GGA) for a relaxed Ho3Ga2Hg4 crystal.

The structure belongs to space group C2/m (No. 12); the cell edges are 10.902, 4.759 and 8.934 Å and the angles 90.00°, 116.88° and 90.00°. Symmetry generates all atoms from Ho at (0.000, 0.000, 0.000), Ho at (0.165, 0.500, 0.672), Ga at (0.105, 0.500, 0.274), Hg at (0.086, 0.000, 0.414) and Hg at (0.195, 0.500, 0.036).

The calculation puts the energy relative to the elements at -0.447 eV per atom. The calculation puts the total magnetic moment at 0.0 μB/f.u. The calculation puts the calculated total energy at -2.780 eV/atom.